[1]
The following is a PBE calculation of a geometry-optimized Ba2NaP structure, from the Alexandria database.

Results
Space-group type: R3m
DFT formation energy in kJ per mole of atoms: -59.13
Size of the total moment in μB/f.u.: 0.000
Electronic total energy in eV/atom: -3.256

Unit cell a=4.6980 b=4.6980 c=10.1290 alpha=76.59 beta=76.59 gamma=60.00
Closest atoms and distances in Å follow each position.
Fractional positions:
Na: 0.5009 0.5009 0.4974  6 Ba 4.16-4.21
P: 0.6661 0.6661 0.0016  6 Ba 3.19-3.21
Ba: 0.2752 0.2752 0.1744  3 P 3.19
Ba: 0.0578 0.0578 0.8266  3 P 3.21

[2]
The following is a PBE calculation of a geometry-optimized Cu3I2Cl structure, from the Alexandria database.

Results
Space-group type: Imm2
ΔE_f (raw) in eV/atom: -0.202
Size of the total moment in μB/f.u.: 0.000
Electronic total energy in eV/atom: -3.075

Unit cell a=4.1713 b=5.7945 c=7.1878 alpha=113.77 beta=106.87 gamma=90.00
Closest atoms and distances in Å follow each position.
Fractional positions:
Cu: 0.0000 0.0299 0.0000  2 Cl 2.44, 2 I 2.60
Cl: 0.5000 0.2475 0.0000  4 Cu 2.38-2.44
Cu: 0.6562 0.6380 0.3125  1 Cl 2.38, 3 I 2.61
I: 0.8363 0.5874 0.6727  4 Cu 2.60-2.61
Cu: 0.3438 0.3255 0.6875  1 Cl 2.38, 3 I 2.61
I: 0.1637 0.9147 0.3273  4 Cu 2.60-2.61

[3]
The following is a PBE calculation of a geometry-optimized Tl4In5Sn2 structure, from the Alexandria database.

Results
Space-group type: P2/m
Distance to the lowest polymorph of the same formula in eV per atom: 0.000
DFT formation energy in kJ per mole of atoms: 3.38
Size of the total moment in μB/f.u.: 0.000
Electronic total energy in eV/atom: -2.798

Unit cell a=3.2521 b=8.2505 c=11.8904 alpha=93.46 beta=90.00 gamma=90.00
Closest atoms and distances in Å follow each position.
Fractional positions:
In: 0.0000 0.7903 0.8270  4 In 3.22-3.25, 1 Sn 3.25, 4 Tl 3.47-3.60
Sn: 0.0000 0.9460 0.3658  2 In 3.14-3.25, 3 Sn 3.25-3.26, 2 Tl 3.45
Tl: 0.5000 0.6952 0.5565  3 Tl 3.25-3.41, 4 Sn 3.45-3.55, 2 In 3.54
In: 0.0000 0.5000 0.0000  6 In 3.25-3.27, 4 Tl 3.44
In: 0.0000 0.4188 0.7272  1 Sn 3.14, 4 In 3.22-3.27
Sn: 0.0000 0.0540 0.6342  2 In 3.14-3.25, 3 Sn 3.25-3.26, 2 Tl 3.45
Tl: 0.5000 0.1513 0.9039  3 Tl 3.25-3.48, 8 In 3.44-3.60, 2 Sn 3.64
In: 0.0000 0.5812 0.2728  1 Sn 3.14, 4 In 3.22-3.27
Tl: 0.5000 0.8487 0.0961  3 Tl 3.25-3.48, 8 In 3.44-3.60, 2 Sn 3.64
In: 0.0000 0.2097 0.1730  4 In 3.22-3.25, 1 Sn 3.25, 4 Tl 3.47-3.60
Tl: 0.5000 0.3048 0.4435  3 Tl 3.25-3.41, 4 Sn 3.45-3.55, 2 In 3.54

[4]
The following is a PBE calculation of a geometry-optimized BaCaW structure, from the Alexandria database.

Results
Space-group type: F-43m
Distance to the lowest polymorph of the same formula in eV per atom: 0.831
DFT formation energy in kJ per mole of atoms: 187.23
Size of the total moment in μB/f.u.: 3.070
Electronic total energy in eV/atom: -3.685

Unit cell a=5.3317 b=5.3317 c=5.3317 alpha=60.00 beta=60.00 gamma=60.00
Closest atoms and distances in Å follow each position.
Fractional positions:
W: 0.5000 0.5000 0.5000  4 Ba 3.26
Ba: 0.7500 0.7500 0.7500  4 W 3.26, 4 Ca 3.26
Ca: 0.0000 0.0000 0.0000  4 Ba 3.26